No. 1
Computed, not measured: BaSnRu2C at its PBEsol-relaxed geometry at the SCAN level of DFT.

Output
As for the formation energy: 2.16 eV per atom. Its density of states at the Fermi level is 3.32 states/eV/cell. As for the space group: No. 123. Its energy is -28.882 eV/atom.

Cell: 4.8261 4.8261 6.4763 Å, 90.00 90.00 90.00°
Closest atoms and distances in Å follow each position.
Fractional coordinates of all 5 atoms:
Ba: 0.0000 0.0000 0.5000  2 Sn 3.24, 4 C 3.41
Ru: 0.5000 0.0000 0.0000  2 Sn 2.41
C: 0.5000 0.5000 0.5000  4 Ba 3.41
Sn: 0.0000 0.0000 0.0000  4 Ru 2.41
Ru: 0.0000 0.5000 0.0000  2 Sn 2.41



No. 2
Computed, not measured: Ba2TaRuC at its PBEsol-relaxed geometry at the SCAN level of DFT.

Output
As for the formation energy: 1.37 eV per atom. Its density of states at the Fermi level is 4.20 states/eV/cell. As for the space group: No. 123. Its energy is -36.753 eV/atom.

Cell: 3.8177 6.0211 6.0211 Å, 90.00 90.00 90.00°
Closest atoms and distances in Å follow each position.
Fractional coordinates of all 5 atoms:
Ba: 0.0000 0.0000 0.5000  2 Ru 3.01
Ta: 0.5000 0.5000 0.5000  8 Ba 3.56, 2 Ta 3.82
C: 0.5000 0.0000 0.0000  2 Ru 1.91
Ba: 0.0000 0.5000 0.0000  2 Ru 3.01
Ru: 0.0000 0.0000 0.0000  2 C 1.91



No. 3
Computed, not measured: Ba2YCS at its PBEsol-relaxed geometry at the SCAN level of DFT.

Output
As for the uncorrected formation energy: 3.4 eV/f.u. Its density of states at the Fermi level is 5.41 states/eV/cell. As for the space group: No. 123. Its energy is -24.658 eV/atom.

Cell: 3.7958 6.2085 6.2085 Å, 90.00 90.00 90.00°
Closest atoms and distances in Å follow each position.
Fractional coordinates of all 5 atoms:
C: 0.5000 0.0000 0.0000  2 S 1.90
Ba: 0.0000 0.0000 0.5000  2 S 3.10
Y: 0.5000 0.5000 0.5000  8 Ba 3.64, 2 Y 3.80
S: 0.0000 0.0000 0.0000  2 C 1.90
Ba: 0.0000 0.5000 0.0000  2 S 3.10



No. 4
Computed, not measured: BaSc3C at its PBEsol-relaxed geometry at the SCAN level of DFT.

Output
As for the formation energy: 2.60 eV per atom. Its density of states at the Fermi level is 4.82 states/eV/cell. As for the space group: No. 221. Its energy is -15.874 eV/atom.

Cell: 5.1396 5.1396 5.1396 Å, 90.00 90.00 90.00°
Closest atoms and distances in Å follow each position.
Fractional coordinates of all 5 atoms:
C: 0.5000 0.5000 0.5000  12 Sc 3.63
Sc: 0.0000 0.5000 0.0000  2 Ba 2.57
Sc: 0.5000 0.0000 0.0000  2 Ba 2.57
Ba: 0.0000 0.0000 0.0000  6 Sc 2.57
Sc: 0.0000 0.0000 0.5000  2 Ba 2.57



Q: Which of these has the highest energy?
A: BaSc3C



Repeat the first record exactly.
Computed, not measured: BaSnRu2C at its PBEsol-relaxed geometry at the SCAN level of DFT.

Output
As for the formation energy: 2.16 eV per atom. Its density of states at the Fermi level is 3.32 states/eV/cell. As for the space group: No. 123. Its energy is -28.882 eV/atom.

Cell: 4.8261 4.8261 6.4763 Å, 90.00 90.00 90.00°
Closest atoms and distances in Å follow each position.
Fractional coordinates of all 5 atoms:
Ba: 0.0000 0.0000 0.5000  2 Sn 3.24, 4 C 3.41
Ru: 0.5000 0.0000 0.0000  2 Sn 2.41
C: 0.5000 0.5000 0.5000  4 Ba 3.41
Sn: 0.0000 0.0000 0.0000  4 Ru 2.41
Ru: 0.0000 0.5000 0.0000  2 Sn 2.41